Below is In2SCl after structural relaxation, with properties calculated at the PBE level.

CIF file:
```
data_In2SCl
_cell_length_a 4.0115
_cell_length_b 4.0115
_cell_length_c 23.2723
_cell_angle_alpha 90.00
_cell_angle_beta 90.00
_cell_angle_gamma 120.00
_symmetry_space_group_name_H-M 'R 3 m'
_symmetry_Int_Tables_number 160
_symmetry_space_group_name_Hall 'R 3 -2"'
loop_
_atom_site_label
_atom_site_type_symbol
_atom_site_fract_x
_atom_site_fract_y
_atom_site_fract_z
In1 In 0.0000 0.0000 0.0000
In2 In 0.0000 0.0000 0.1870
S1 S 0.0000 0.0000 0.5862
Cl1 Cl 0.0000 0.0000 0.7742
```

E_form (uncorrected) ... -0.4755 eV/atom
ΔE to the lowest computed polymorph ... 0 meV per atom



Below is Sm2UIn3Te6 after structural relaxation, with properties calculated at the PBE level.

CIF file:
```
data_Sm2UIn3Te6
_cell_length_a 7.707
_cell_length_b 13.347
_cell_length_c 8.567
_cell_angle_alpha 90.00
_cell_angle_beta 107.45
_cell_angle_gamma 90.00
_symmetry_space_group_name_H-M 'C 1 2/m 1'
_symmetry_Int_Tables_number 12
_symmetry_space_group_name_Hall '-C 2y'
loop_
_atom_site_label
_atom_site_type_symbol
_atom_site_fract_x
_atom_site_fract_y
_atom_site_fract_z
Sm1 Sm 0.000 0.167 0.000
U1 U 0.000 0.500 0.000
In1 In 0.000 0.000 0.500
In2 In 0.000 0.333 0.500
Te1 Te 0.240 0.335 0.224
Te2 Te 0.244 0.000 0.224
```

E_form (uncorrected) ... -0.7966 eV/atom



Below is Cu3Pt after structural relaxation, with properties calculated at the PBE level.

CIF file:
```
data_Cu3Pt
_cell_length_a 2.6738
_cell_length_b 2.6738
_cell_length_c 8.5123
_cell_angle_alpha 90.00
_cell_angle_beta 90.00
_cell_angle_gamma 120.00
_symmetry_space_group_name_H-M 'P -6 m 2'
_symmetry_Int_Tables_number 187
_symmetry_space_group_name_Hall 'P -6 2'
loop_
_atom_site_label
_atom_site_type_symbol
_atom_site_fract_x
_atom_site_fract_y
_atom_site_fract_z
Cu1 Cu 0.0000 0.0000 0.0000
Cu2 Cu 0.6667 0.3333 0.2376
Pt1 Pt 0.0000 0.0000 0.5000
```

Energy relative to the elements ... -0.0449 eV/atom



Below is CaPr4Nd7 after structural relaxation, with properties calculated at the PBE level.

CIF file:
```
data_CaPr4Nd7
_cell_length_a 6.413
_cell_length_b 7.413
_cell_length_c 9.805
_cell_angle_alpha 79.31
_cell_angle_beta 71.04
_cell_angle_gamma 89.97
_symmetry_space_group_name_H-M 'P -1'
_symmetry_Int_Tables_number 2
_symmetry_space_group_name_Hall '-P 1'
loop_
_atom_site_label
_atom_site_type_symbol
_atom_site_fract_x
_atom_site_fract_y
_atom_site_fract_z
Ca1 Ca 0.000 0.000 0.000
Pr1 Pr 0.002 0.168 0.336
Pr2 Pr 0.498 0.584 0.668
Nd1 Nd 0.000 0.500 0.000
Nd2 Nd 0.002 0.663 0.336
Nd3 Nd 0.493 0.916 0.337
Nd4 Nd 0.500 0.257 0.000
```

ΔE to the lowest computed polymorph ... 0 meV per atom
Energy relative to the elements ... 0.0259 eV/atom



Below is Sr3BeIr after structural relaxation, with properties calculated at the PBE level.

CIF file:
```
data_Sr3BeIr
_cell_length_a 5.764
_cell_length_b 5.764
_cell_length_c 5.764
_cell_angle_alpha 90.00
_cell_angle_beta 90.00
_cell_angle_gamma 90.00
_symmetry_space_group_name_H-M 'P m -3 m'
_symmetry_Int_Tables_number 221
_symmetry_space_group_name_Hall '-P 4 2 3'
loop_
_atom_site_label
_atom_site_type_symbol
_atom_site_fract_x
_atom_site_fract_y
_atom_site_fract_z
Sr1 Sr 0.000 0.000 0.500
Be1 Be 0.500 0.500 0.500
Ir1 Ir 0.000 0.000 0.000
```

ΔE to the lowest computed polymorph ... 0 meV per atom
Energy relative to the elements ... 0.3507 eV/atom



Below is Pr2Sb4Pd5 after structural relaxation, with properties calculated at the PBE level.

CIF file:
```
data_Pr2Sb4Pd5
_cell_length_a 6.043
_cell_length_b 10.341
_cell_length_c 16.094
_cell_angle_alpha 90.00
_cell_angle_beta 90.00
_cell_angle_gamma 90.00
_symmetry_space_group_name_H-M 'F m m m'
_symmetry_Int_Tables_number 69
_symmetry_space_group_name_Hall '-F 2 2'
loop_
_atom_site_label
_atom_site_type_symbol
_atom_site_fract_x
_atom_site_fract_y
_atom_site_fract_z
Pr1 Pr 0.000 0.000 0.143
Sb1 Sb 0.000 0.154 0.370
Pd1 Pd 0.000 0.000 0.500
Pd2 Pd 0.250 0.250 0.000
Pd3 Pd 0.250 0.250 0.250
```

E_form (uncorrected) ... -0.6295 eV/atom



Below is Cr2MoPd9 after structural relaxation, with properties calculated at the PBE level.

CIF file:
```
data_Cr2MoPd9
_cell_length_a 3.920
_cell_length_b 3.920
_cell_length_c 11.791
_cell_angle_alpha 90.00
_cell_angle_beta 90.00
_cell_angle_gamma 90.00
_symmetry_space_group_name_H-M 'P 4/m m m'
_symmetry_Int_Tables_number 123
_symmetry_space_group_name_Hall '-P 4 2'
loop_
_atom_site_label
_atom_site_type_symbol
_atom_site_fract_x
_atom_site_fract_y
_atom_site_fract_z
Cr1 Cr 0.000 0.000 0.160
Mo1 Mo 0.000 0.000 0.500
Pd1 Pd 0.000 0.500 0.000
Pd2 Pd 0.000 0.500 0.337
Pd3 Pd 0.500 0.500 0.168
Pd4 Pd 0.500 0.500 0.500
```

Energy relative to the elements ... -0.0776 eV/atom



Below is Zr2Zn2Pd after structural relaxation, with properties calculated at the PBE level.

CIF file:
```
data_Zr2Zn2Pd
_cell_length_a 6.775
_cell_length_b 6.775
_cell_length_c 3.939
_cell_angle_alpha 90.00
_cell_angle_beta 90.00
_cell_angle_gamma 90.00
_symmetry_space_group_name_H-M 'P 4/m b m'
_symmetry_Int_Tables_number 127
_symmetry_space_group_name_Hall '-P 4 2ab'
loop_
_atom_site_label
_atom_site_type_symbol
_atom_site_fract_x
_atom_site_fract_y
_atom_site_fract_z
Zr1 Zr 0.171 0.329 0.000
Zn1 Zn 0.130 0.630 0.500
Pd1 Pd 0.000 0.000 0.500
```

ΔE to the lowest computed polymorph ... 0 meV per atom
Energy relative to the elements ... -0.3852 eV/atom



Below is CuSO5 after structural relaxation, with properties calculated at the PBE level.

CIF file:
```
data_CuSO5
_cell_length_a 5.493
_cell_length_b 5.500
_cell_length_c 6.603
_cell_angle_alpha 103.89
_cell_angle_beta 104.10
_cell_angle_gamma 92.56
_symmetry_space_group_name_H-M 'P -1'
_symmetry_Int_Tables_number 2
_symmetry_space_group_name_Hall '-P 1'
loop_
_atom_site_label
_atom_site_type_symbol
_atom_site_fract_x
_atom_site_fract_y
_atom_site_fract_z
Cu1 Cu 0.000 0.000 0.000
Cu2 Cu 0.000 0.000 0.500
S1 S 0.321 0.679 0.251
O1 O 0.094 0.910 0.751
O2 O 0.112 0.697 0.369
O3 O 0.271 0.429 0.102
O4 O 0.304 0.889 0.134
O5 O 0.427 0.273 0.601
```

E_form (uncorrected) ... -0.7016 eV/atom
ΔE to the lowest computed polymorph ... 0 meV per atom



Below is Ba2BePb after structural relaxation, with properties calculated at the PBE level.

CIF file:
```
data_Ba2BePb
_cell_length_a 4.5233
_cell_length_b 4.5233
_cell_length_c 27.4949
_cell_angle_alpha 90.00
_cell_angle_beta 90.00
_cell_angle_gamma 120.00
_symmetry_space_group_name_H-M 'R 3 m'
_symmetry_Int_Tables_number 160
_symmetry_space_group_name_Hall 'R 3 -2"'
loop_
_atom_site_label
_atom_site_type_symbol
_atom_site_fract_x
_atom_site_fract_y
_atom_site_fract_z
Ba1 Ba 0.0000 0.0000 0.0000
Ba2 Ba 0.0000 0.0000 0.1782
Be1 Be 0.0000 0.0000 0.7558
Pb1 Pb 0.0000 0.0000 0.4223
```

ΔE to the lowest computed polymorph ... 0 meV per atom
Energy relative to the elements ... -0.0879 eV/atom



Below is ThInGa2 after structural relaxation, with properties calculated at the PBE level.

CIF file:
```
data_ThInGa2
_cell_length_a 4.643
_cell_length_b 4.643
_cell_length_c 4.322
_cell_angle_alpha 90.00
_cell_angle_beta 90.00
_cell_angle_gamma 90.00
_symmetry_space_group_name_H-M 'P 4/m m m'
_symmetry_Int_Tables_number 123
_symmetry_space_group_name_Hall '-P 4 2'
loop_
_atom_site_label
_atom_site_type_symbol
_atom_site_fract_x
_atom_site_fract_y
_atom_site_fract_z
Th1 Th 0.000 0.000 0.000
In1 In 0.500 0.500 0.000
Ga1 Ga 0.000 0.500 0.500
```

ΔE to the lowest computed polymorph ... 0 meV per atom
Energy relative to the elements ... -0.4193 eV/atom



Below is Er2CuNi12P3 after structural relaxation, with properties calculated at the PBE level.

CIF file:
```
data_Er2CuNi12P3
_cell_length_a 8.3829
_cell_length_b 8.3829
_cell_length_c 11.7214
_cell_angle_alpha 90.00
_cell_angle_beta 90.00
_cell_angle_gamma 120.00
_symmetry_space_group_name_H-M 'R -3 m'
_symmetry_Int_Tables_number 166
_symmetry_space_group_name_Hall '-R 3 2"'
loop_
_atom_site_label
_atom_site_type_symbol
_atom_site_fract_x
_atom_site_fract_y
_atom_site_fract_z
Er1 Er 0.0000 0.0000 0.1508
Cu1 Cu 0.0000 0.0000 0.5000
Ni1 Ni 0.0065 0.5032 0.1823
Ni2 Ni 0.0138 0.5069 0.3848
P1 P 0.0000 0.5000 0.0000
```

Energy relative to the elements ... -0.1524 eV/atom



| no. | total magnetic moment (Bohr magnetons per cell) |
| --- | --- |
| 1 | 0.00 |
| 2 | 6.05 |
| 3 | 0.00 |
| 4 | 0.00 |
| 5 | 0.00 |
| 6 | 0.00 |
| 7 | 6.70 |
| 8 | 0.00 |
| 9 | 2.10 |
| 10 | 0.00 |
| 11 | 0.00 |
| 12 | 0.00 |